An optimized crystal structure of HoTlIn2, computed with PBE-GGA.

abc: 4.6466 4.6466 4.7393
angles: 90.00 90.00 90.00
Last column: nearest neighbours and their distance in Å.
Space group P4/mmm (No. 123)
One atom of each set of equivalent atoms:
Ho  0.0000  0.0000  0.0000 x1  4 Tl 3.29, 8 In 3.32
Tl  0.5000  0.5000  0.0000 x1  4 Ho 3.29, 8 In 3.32
In  0.0000  0.5000  0.5000 x2  4 In 3.29, 4 Tl 3.32, 4 Ho 3.32

Calculated values
DOS(E_F) = 1.6 states/eV per cell
Formation enthalpy at 0 K = -0.328 eV/atom